[1]
Below is Ca2InI after structural relaxation, with properties calculated at the PBE level.

Results
- formation energy (no corrections) (eV/f.u.) = -3.0
- N(E_F) (states/eV per atom) = 0.140
- total moment (μB/f.u.) = 0.00
- symmetry = No. 166

a b c (Å): 4.2305 4.2305 9.1077
angles (deg): 76.57 76.57 60.00
Last column: nearest neighbours and their distance in Å.
Fractional positions:
1 Ca 0.7448 0.7448 0.7657  3 In 3.19, 3 I 3.38
2 Ca 0.2552 0.2552 0.2343  3 In 3.19, 3 I 3.38
3 I 0.5000 0.5000 0.5000  6 Ca 3.38
4 In 0.0000 0.0000 0.0000  6 Ca 3.19

[2]
Below is LaPm2Sb after structural relaxation, with properties calculated at the PBE level.

Results
- formation energy (no corrections) (eV/f.u.) = -1.5
- N(E_F) (states/eV per atom) = 0.934
- total moment (μB/f.u.) = 0.17
- symmetry = No. 160

a b c (Å): 4.1327 4.1327 10.0634
angles (deg): 78.15 78.15 60.00
Last column: nearest neighbours and their distance in Å.
Fractional positions:
1 Sb 0.6664 0.6664 0.0006  6 Pm 3.08
2 Pm 0.2668 0.2668 0.1997  3 Sb 3.08
3 Pm 0.0665 0.0665 0.8006  3 Sb 3.08
4 La 0.5003 0.5003 0.4990  6 Pm 3.78-3.79, 6 La 4.13

[3]
Below is TaTeAs2 after structural relaxation, with properties calculated at the PBE level.

Results
- formation energy (no corrections) (eV/f.u.) = 1.5
- N(E_F) (states/eV per atom) = 0.625
- total moment (μB/f.u.) = 0.00
- symmetry = No. 12

a b c (Å): 5.1408 5.0921 4.0235
angles (deg): 74.41 75.51 113.95
Last column: nearest neighbours and their distance in Å.
Fractional positions:
1 As 0.0000 0.0000 0.0000  2 Ta 2.79, 2 Te 2.79, 2 As 2.84
2 As 0.5000 0.0000 0.5000  2 Te 2.79, 2 Ta 2.79, 2 As 2.84
3 Te 0.5000 0.5000 0.0000  4 As 2.79, 2 Ta 2.84
4 Ta 0.0000 0.5000 0.5000  4 As 2.79, 2 Te 2.84

[4]
Below is PrHoTm3 after structural relaxation, with properties calculated at the PBE level.

Results
- N(E_F) (states/eV per atom) = 1.569
- total moment (μB/f.u.) = 0.00
- symmetry = No. 11
- calculated total energy (eV/atom) = -4.544

a b c (Å): 9.5525 5.6243 6.2536
angles (deg): 90.00 109.03 90.00
Last column: nearest neighbours and their distance in Å.
Fractional positions:
1 Tm 0.7980 0.4500 0.2309  3 Ho 3.50-3.58, 3 Pr 3.51-3.63, 6 Tm 3.51-3.65
2 Tm 0.4017 0.9500 0.3648  4 Ho 3.49-3.61, 5 Tm 3.50-3.63, 3 Pr 3.51-3.60
3 Tm 0.2020 0.9500 0.7691  3 Ho 3.50-3.58, 3 Pr 3.51-3.63, 6 Tm 3.51-3.65
4 Tm 0.5983 0.4500 0.6352  4 Ho 3.49-3.61, 5 Tm 3.50-3.63, 3 Pr 3.51-3.60
5 Tm 0.0007 0.4500 0.8368  7 Tm 3.48-3.65, 4 Pr 3.51-3.63, 1 Ho 3.62
6 Tm 0.9993 0.9500 0.1632  7 Tm 3.48-3.65, 4 Pr 3.51-3.63, 1 Ho 3.62
7 Ho 0.5990 0.9500 0.9654  8 Tm 3.49-3.62, 2 Ho 3.49, 2 Pr 3.60-3.63
8 Ho 0.4010 0.4500 0.0346  8 Tm 3.49-3.62, 2 Ho 3.49, 2 Pr 3.60-3.63
9 Pr 0.1999 0.4500 0.4324  10 Tm 3.51-3.63, 2 Ho 3.60-3.63
10 Pr 0.8001 0.9500 0.5676  10 Tm 3.51-3.63, 2 Ho 3.60-3.63